Below is crystalline NdEuMgTl at its relaxed geometry, with properties calculated at the PBE level.

Properties
E_form: -0.255 eV/atom
Symmetry: F-43m (216)

a b c (Å): 5.5605 5.5605 5.5605
angles (deg): 60.00 60.00 60.00
Closest atoms and distances in Å follow each position.
Sites, in units of the cell vectors:
1 Tl 0.0000 0.0000 0.0000  4 Nd 3.41, 4 Eu 3.41
2 Mg 0.5000 0.5000 0.5000  4 Nd 3.41, 4 Eu 3.41
3 Nd 0.7500 0.7500 0.7500  4 Tl 3.41, 4 Mg 3.41
4 Eu 0.2500 0.2500 0.2500  4 Tl 3.41, 4 Mg 3.41